# 1
Computed, not measured: a crystal of Ba3Ga2N4 relaxed with PBEsol at the meta-GGA SCAN level of DFT.

Computed properties:
Space group   Pnna (52)

```
36
Lattice="-3.900 -4.589 -1.471 4.237 -5.830 6.953 -6.841 3.530 7.129" Properties=species:S:1:pos:R:3 pbc="T T T"
Ga -5.388 -0.359 6.588
Ga -1.285 -1.321 3.281
N -2.116 0.335 4.046
N -2.241 -2.573 4.573
N -3.399 -0.529 6.993
Ba 2.862 -6.427 5.929
N -4.389 -7.224 8.565
Ba -2.136 -4.800 10.436
N -7.163 -5.221 9.674
Ba -1.689 -4.656 3.073
Ba -2.526 -3.992 -0.447
N -1.284 -5.788 7.876
Ga -0.001 -2.487 1.230
Ga 0.338 -7.932 4.251
N -4.639 -5.012 11.201
N 0.162 -5.964 4.588
Ga -1.117 -6.531 6.022
Ba -4.369 -2.090 2.174
N -5.221 -1.101 4.734
Ga -3.251 -0.957 5.075
Ba -7.580 -2.285 3.966
N -5.840 1.620 6.763
Ba -1.878 -2.847 7.329
N -4.264 -4.316 8.037
N -1.867 -1.877 1.409
Ba 1.075 -4.604 8.644
N 0.658 -1.668 2.936
Ga -3.254 -5.932 7.535
Ba -4.816 -2.233 9.537
N -0.665 -8.509 5.847
N -6.668 -0.926 8.023
Ba -7.509 -3.506 7.583
N -3.107 -6.360 5.617
Ba -4.627 -4.042 5.281
Ba 1.004 -3.383 5.027
Ga -5.220 -5.568 9.329
```

# 2
Computed, not measured: a crystal of Ba6Ga5N relaxed with PBEsol at the meta-GGA SCAN level of DFT.

Computed properties:
Space group   R-3c (167)

```
24
Lattice="-7.267 -2.663 1.135 -1.143 -6.775 3.738 -3.393 3.595 13.663" Properties=species:S:1:pos:R:3 pbc="T T T"
Ba -3.333 -5.393 4.565
Ga -4.415 -1.997 4.863
Ba -4.842 -1.956 14.993
N -5.901 -2.922 9.268
Ba -8.469 -0.450 13.972
Ga -7.388 -3.846 13.674
Ba -4.962 -0.393 9.606
Ba -8.232 -2.375 10.556
Ba -7.103 -2.026 7.000
Ga -10.086 -3.554 13.378
Ga -2.858 -2.524 2.735
Ga -1.717 -2.289 5.159
Ba -6.840 -5.450 8.931
Ga -3.044 -0.397 6.534
Ba -6.961 -3.887 3.544
Ba -5.086 1.573 13.004
Ba -6.716 -7.416 5.532
Ga -8.759 -5.446 12.003
Ga -8.945 -3.319 15.802
Ga -9.082 -5.748 14.656
Ba -3.570 -3.469 7.981
Ga -2.720 -0.095 3.881
N 0.000 0.000 0.000
Ba -4.700 -3.817 11.537
```

# 3
Computed, not measured: a crystal of Ba4GaN3O relaxed with PBEsol at the meta-GGA SCAN level of DFT.

Computed properties:
Space group   Pbca (61)

```
72
Lattice="7.900 0.000 0.000 0.000 7.704 0.000 0.000 0.000 25.269" Properties=species:S:1:pos:R:3 pbc="T T T"
N 1.054 6.424 21.989
O 7.625 6.313 1.065
Ba 1.355 7.690 10.884
Ga 7.734 6.224 8.353
O 7.625 5.243 13.699
Ba 6.024 3.384 18.465
Ba 4.994 2.896 23.841
Ba 7.484 2.342 8.830
O 3.675 6.313 11.570
N 4.089 1.533 19.117
Ga 4.116 2.372 8.353
N 4.089 2.319 6.483
Ba 6.857 4.808 11.207
Ba 6.024 0.468 5.831
N 6.847 1.280 3.280
Ba 5.305 7.690 1.751
Ba 2.595 3.838 10.884
Ba 4.994 0.956 11.207
O 0.276 1.391 24.204
Ba 4.367 6.194 8.830
N 6.743 4.167 22.110
O 3.675 5.243 24.204
Ba 5.827 4.320 5.831
N 5.108 3.537 9.476
O 4.226 1.391 13.699
O 4.226 2.461 1.065
Ba 1.044 2.896 14.062
Ba 6.545 3.838 1.751
N 0.139 1.533 18.786
N 1.054 5.132 9.355
N 3.812 6.171 6.152
N 3.812 5.385 18.786
Ba 1.877 4.320 6.804
Ga 0.166 2.372 4.282
N 1.158 3.537 3.159
Ga 3.784 5.332 16.916
N 2.793 4.167 15.793
Ba 3.534 2.342 3.804
N 0.139 2.319 6.152
Ba 0.416 5.362 16.439
Ga 7.734 5.332 20.987
Ba 5.305 3.866 14.385
N 5.108 0.315 22.110
Ba 1.877 7.236 19.438
Ba 3.534 1.510 16.439
Ba 1.044 0.956 1.427
Ba 2.073 3.384 19.438
Ba 6.545 0.014 14.385
Ga 4.116 1.480 20.987
N 7.762 5.385 19.117
Ba 7.484 1.510 21.464
Ba 2.073 0.468 6.804
Ba 2.595 0.014 23.518
N 7.762 6.171 6.483
Ba 5.827 7.236 18.465
N 6.847 2.572 15.914
N 2.793 7.389 3.159
N 6.743 7.389 9.476
Ba 2.906 6.748 14.062
Ga 3.784 6.224 4.282
N 5.004 5.132 3.280
Ba 4.367 5.362 21.464
N 5.004 6.424 15.914
N 1.158 0.315 15.793
O 0.276 2.461 11.570
N 2.897 2.572 21.989
Ba 1.355 3.866 23.518
Ba 2.906 4.808 1.427
N 2.897 1.280 9.355
Ga 0.166 1.480 16.916
Ba 0.416 6.194 3.804
Ba 6.857 6.748 23.841
```

# 4
Computed, not measured: a crystal of BaGaN2O relaxed with PBEsol at the meta-GGA SCAN level of DFT.

Computed properties:
Space group   P4/mmm (123)

```
5
Lattice="4.647 0.000 0.000 0.000 5.176 0.000 0.000 0.000 5.176" Properties=species:S:1:pos:R:3 pbc="T T T"
N 0.000 0.000 2.588
N 0.000 2.588 0.000
Ba 0.000 0.000 0.000
Ga 2.323 2.588 2.588
O 2.323 0.000 0.000
```

# 5
Computed, not measured: a crystal of BaGaNO2 relaxed with PBEsol at the meta-GGA SCAN level of DFT.

Computed properties:
Space group   P4/mmm (123)

```
5
Lattice="-3.478 -3.277 -0.643 1.008 -0.146 -4.713 3.424 -3.802 0.851" Properties=species:S:1:pos:R:3 pbc="T T T"
N 1.712 -1.901 0.425
Ba 0.000 0.000 0.000
O 0.504 -0.073 -2.356
Ga 0.477 -3.612 -2.253
O -1.739 -1.638 -0.321
```

# 6
Computed, not measured: a crystal of BaNa2Ga2 relaxed with PBEsol at the meta-GGA SCAN level of DFT.

Computed properties:
Space group   I4/mmm (139)
E_form   -0.167 eV/atom

```
5
Lattice="-1.582 -1.225 4.517 -4.496 -0.926 -1.826 4.644 -4.721 -2.356" Properties=species:S:1:pos:R:3 pbc="T T T"
Ga 1.293 -4.670 -0.814
Ba 0.000 0.000 0.000
Ga -2.727 -2.202 1.149
Na 0.011 -3.511 1.754
Na -1.446 -3.361 -1.418
```

# 7
Computed, not measured: a crystal of BaNaNbGa2 relaxed with PBEsol at the meta-GGA SCAN level of DFT.

Computed properties:
Space group   P4/mmm (123)
E_form   1.057 eV/atom

```
5
Lattice="-2.293 -1.735 -4.118 -2.764 -3.086 2.839 -3.798 3.854 0.491" Properties=species:S:1:pos:R:3 pbc="T T T"
Na 0.000 0.000 0.000
Nb -4.427 -0.483 -0.394
Ga -1.147 -0.867 -2.059
Ba -1.899 1.927 0.246
Ga -1.382 -1.543 1.420
```

# 8
Computed, not measured: a crystal of Ba5NaGa2Sb6 relaxed with PBEsol at the meta-GGA SCAN level of DFT.

Computed properties:
Space group   Pnma (62)

```
56
Lattice="10.701 0.000 0.000 0.000 12.681 0.000 0.000 0.000 13.956" Properties=species:S:1:pos:R:3 pbc="T T T"
Sb 8.025 11.073 1.611
Ba 5.138 10.521 7.512
Sb 2.675 6.352 1.195
Ba 5.563 8.500 0.534
Ga 2.675 8.703 2.759
Ba 0.311 5.311 3.528
Ba 5.662 1.029 10.506
Sb 0.614 8.517 4.537
Ba 0.213 4.181 13.422
Sb 8.025 6.329 12.760
Sb 5.965 4.164 9.419
Sb 2.675 4.484 6.009
Sb 8.025 4.733 5.367
Sb 4.736 2.177 2.441
Ga 8.025 3.977 11.196
Ga 8.025 11.635 12.884
Ba 10.389 7.370 10.428
Sb 2.675 10.825 0.969
Sb 2.675 7.948 8.588
Na 5.350 6.340 6.978
Ba 0.311 11.652 3.450
Ba 5.138 4.181 13.422
Sb 8.025 12.110 5.352
Ba 2.675 10.581 11.396
Sb 8.025 8.197 7.947
Sb 2.675 1.608 12.345
Ga 2.675 7.386 5.906
Sb 2.675 0.571 8.604
Ba 10.389 1.029 10.506
Na 5.350 0.000 0.000
Sb 5.965 10.504 11.515
Ba 8.025 8.440 4.418
Ga 8.025 5.295 8.050
Sb 10.086 4.164 9.419
Sb 4.736 8.517 4.537
Ga 2.675 2.363 4.218
Sb 0.614 2.177 2.441
Na 0.000 6.340 6.978
Sb 8.025 12.669 8.173
Ba 5.662 7.370 10.428
Na 0.000 0.000 0.000
Sb 2.675 0.011 5.783
Ga 2.675 1.046 1.072
Sb 8.025 1.856 12.987
Ba 5.039 11.652 3.450
Sb 2.675 6.912 12.330
Ba 8.025 2.100 2.560
Ba 5.563 2.160 6.444
Sb 10.086 10.504 11.515
Ba 2.675 4.241 9.538
Ba 10.488 8.500 0.534
Ga 8.025 10.318 9.737
Ba 5.039 5.311 3.528
Sb 8.025 5.769 1.626
Ba 0.213 10.521 7.512
Ba 10.488 2.160 6.444
```

no.,calculated total energy (eV per atom)
1,-21.627
2,-27.905
3,-24.260
4,-14.960
5,-15.107
6,-16.302
7,-20.861
8,-33.621